Record 1
Entry from Alexandria: GaSn2Ge at its PBEsol-relaxed geometry (meta-GGA SCAN).

The value obtained for the energy above the most stable polymorph in this dataset is 0.718 eV per formula unit. As for the energy of formation from the pure elements: 0.2755 eV per atom. The raw total energy is -26.544 eV per atom.

The structure in POSCAR format:
```
GaSn2Ge
1.0
-4.5553 -2.0146 -0.4392
-0.5259 -4.9674 -0.2231
-2.0204 -2.4754 3.8461
Ge Ga Sn
1 1 2
Direct
0.5000 0.5000 0.5000 Ge
0.0000 0.0000 0.0000 Ga
0.7500 0.7500 0.7500 Sn
0.2500 0.2500 0.2500 Sn
```

---

Record 2
Entry from Alexandria: SrGaGe at its PBEsol-relaxed geometry (meta-GGA SCAN).

As for the energy of formation from the pure elements: -0.5917 eV per atom. The raw total energy is -19.828 eV per atom.

The structure in POSCAR format:
```
SrGaGe
1.0
4.2444 0.0000 0.0000
-2.1222 3.6758 0.0000
0.0000 0.0000 4.6260
Ga Ge Sr
1 1 1
Direct
0.6667 0.3333 0.5000 Ga
0.3333 0.6667 0.5000 Ge
0.0000 0.0000 0.0000 Sr
```

---

Record 3
Entry from Alexandria: SrGaGe at its PBEsol-relaxed geometry (meta-GGA SCAN).

As for the energy of formation from the pure elements: -0.6081 eV per atom. The raw total energy is -19.845 eV per atom.

The structure in POSCAR format:
```
SrGaGe
1.0
-3.8284 1.8382 0.1732
0.3792 -3.9913 -1.4110
-2.2485 -6.3067 17.2362
Sr Ge Ga
4 4 4
Direct
0.0000 0.0000 0.0000 Sr
0.0000 0.0000 0.7500 Sr
0.0000 0.0000 0.5000 Sr
0.0000 0.0000 0.2500 Sr
0.3333 0.6667 0.8870 Ge
0.6667 0.3333 0.3870 Ge
0.6667 0.3333 0.1130 Ge
0.3333 0.6667 0.6130 Ge
0.6667 0.3333 0.6441 Ga
0.3333 0.6667 0.3559 Ga
0.3333 0.6667 0.1441 Ga
0.6667 0.3333 0.8559 Ga
```

---

Record 4
Entry from Alexandria: SrGaGe2Te at its PBEsol-relaxed geometry (meta-GGA SCAN).

The formation energy from raw total energies is -0.080 eV/atom. The raw total energy is -22.889 eV per atom.

The structure in POSCAR format:
```
SrGaGe2Te
1.0
4.8984 0.0000 0.0000
0.0000 4.8984 0.0000
0.0000 0.0000 5.6562
Sr Ge Ga Te
1 2 1 1
Direct
0.5000 0.5000 0.5000 Sr
0.5000 0.0000 0.0000 Ge
0.0000 0.5000 0.0000 Ge
0.0000 0.0000 0.0000 Ga
0.0000 0.0000 0.5000 Te
```

---

| no. | density (g/cm3) |
| --- | --- |
| 1 | 7.13 |
| 2 | 5.29 |
| 3 | 5.28 |
| 4 | 5.26 |